# 1
# Pr2TmAg4 (PBE-GGA, optimized geometry)
data_Pr2TmAg4
_cell_length_a 5.376
_cell_length_b 5.376
_cell_length_c 13.028
_cell_angle_alpha 90.00
_cell_angle_beta 90.00
_cell_angle_gamma 90.00
_space_group_name_H-M_alt 'I 4/m m m'
_space_group_IT_number 139
_space_group_name_Hall '-I 4 2'
loop_
_atom_site_label
_atom_site_fract_x
_atom_site_fract_y
_atom_site_fract_z
Pr1 0.000 0.000 0.220
Tm1 0.000 0.000 0.500
Ag1 0.000 0.500 0.111
# * magnetization: 0.000 μB/atom
# * density: 7.8 g/cm³
# * total energy: -52.29 eV for the cell shown

=====

# 2
# PrTmAg6 (PBE-GGA, optimized geometry)
data_PrTmAg6
_cell_length_a 9.321
_cell_length_b 4.580
_cell_length_c 9.106
_cell_angle_alpha 90.00
_cell_angle_beta 118.56
_cell_angle_gamma 90.00
_space_group_name_H-M_alt 'C 1 2/m 1'
_space_group_IT_number 12
_space_group_name_Hall '-C 2y'
loop_
_atom_site_label
_atom_site_fract_x
_atom_site_fract_y
_atom_site_fract_z
Pr1 0.000 0.000 0.000
Tm1 0.000 0.000 0.500
Ag1 0.007 0.500 0.745
Ag2 0.246 0.000 0.859
Ag3 0.246 0.500 0.615
# * magnetization: 0.000 μB/atom
# * density: 9.3 g/cm³
# * total energy: -55.72 eV for the cell shown

=====

# 3
# Pr3Tm2Ag3 (PBE-GGA, optimized geometry)
data_Pr3Tm2Ag3
_cell_length_a 3.690
_cell_length_b 5.453
_cell_length_c 22.141
_cell_angle_alpha 90.00
_cell_angle_beta 90.00
_cell_angle_gamma 90.00
_space_group_name_H-M_alt 'I m m m'
_space_group_IT_number 71
_space_group_name_Hall '-I 2 2'
loop_
_atom_site_label
_atom_site_fract_x
_atom_site_fract_y
_atom_site_fract_z
Pr1 0.000 0.000 0.000
Pr2 0.000 0.500 0.123
Tm1 0.000 0.000 0.233
Ag1 0.000 0.000 0.500
Ag2 0.000 0.500 0.376
# * magnetization: 0.000 μB/atom
# * density: 8.1 g/cm³
# * total energy: -66.69 eV for the cell shown

=====

# 4
# PrTm2Ag4 (PBE-GGA, optimized geometry)
data_PrTm2Ag4
_cell_length_a 7.377
_cell_length_b 7.377
_cell_length_c 6.809
_cell_angle_alpha 90.00
_cell_angle_beta 90.00
_cell_angle_gamma 90.00
_space_group_name_H-M_alt 'I 4/m m m'
_space_group_IT_number 139
_space_group_name_Hall '-I 4 2'
loop_
_atom_site_label
_atom_site_fract_x
_atom_site_fract_y
_atom_site_fract_z
Pr1 0.000 0.000 0.000
Tm1 0.000 0.500 0.000
Ag1 0.250 0.250 0.250
# * magnetization: 0.000 μB/atom
# * density: 8.2 g/cm³
# * total energy: -51.28 eV for the cell shown

=====

# 5
# PrTmAg3 (PBE-GGA, optimized geometry)
data_PrTmAg3
_cell_length_a 3.572
_cell_length_b 27.985
_cell_length_c 4.820
_cell_angle_alpha 90.00
_cell_angle_beta 90.00
_cell_angle_gamma 90.00
_space_group_name_H-M_alt 'C m c m'
_space_group_IT_number 63
_space_group_name_Hall '-C 2c 2'
loop_
_atom_site_label
_atom_site_fract_x
_atom_site_fract_y
_atom_site_fract_z
Pr1 0.000 0.076 0.250
Tm1 0.000 0.210 0.750
Ag1 0.000 0.319 0.750
Ag2 0.000 0.376 0.250
Ag3 0.000 0.475 0.250
# * magnetization: 0.000 μB/atom
# * density: 8.7 g/cm³
# * total energy: -76.48 eV for the cell shown

=====

# 6
# PrTmAg (PBE-GGA, optimized geometry)
data_PrTmAg
_cell_length_a 5.0567
_cell_length_b 5.0567
_cell_length_c 3.8597
_cell_angle_alpha 90.00
_cell_angle_beta 90.00
_cell_angle_gamma 120.00
_space_group_name_H-M_alt 'P 3 m 1'
_space_group_IT_number 156
_space_group_name_Hall 'P 3 -2"'
loop_
_atom_site_label
_atom_site_fract_x
_atom_site_fract_y
_atom_site_fract_z
Pr1 0.0000 0.0000 0.0000
Tm1 0.3333 0.6667 0.4834
Ag1 0.6667 0.3333 0.5728
# * magnetization: 0.000 μB/atom
# * density: 8.1 g/cm³
# * total energy: -12.20 eV for the cell shown

=====

# 7
# Pr2TmAg6 (PBE-GGA, optimized geometry)
data_Pr2TmAg6
_cell_length_a 8.3320
_cell_length_b 8.3320
_cell_length_c 3.5115
_cell_angle_alpha 90.00
_cell_angle_beta 90.00
_cell_angle_gamma 120.00
_space_group_name_H-M_alt 'P 6/m m m'
_space_group_IT_number 191
_space_group_name_Hall '-P 6 2'
loop_
_atom_site_label
_atom_site_fract_x
_atom_site_fract_y
_atom_site_fract_z
Pr1 0.3333 0.6667 0.0000
Tm1 0.0000 0.0000 0.0000
Ag1 0.0000 0.3296 0.5000
# * magnetization: 0.000 μB/atom
# * density: 8.6 g/cm³
# * total energy: -33.30 eV for the cell shown

=====

# 8
# Pr2TmAg (PBE-GGA, optimized geometry)
data_Pr2TmAg
_cell_length_a 3.6412
_cell_length_b 3.6412
_cell_length_c 32.1618
_cell_angle_alpha 90.00
_cell_angle_beta 90.00
_cell_angle_gamma 120.00
_space_group_name_H-M_alt 'R -3 m'
_space_group_IT_number 166
_space_group_name_Hall '-R 3 2"'
loop_
_atom_site_label
_atom_site_fract_x
_atom_site_fract_y
_atom_site_fract_z
Pr1 0.0000 0.0000 0.2430
Tm1 0.0000 0.0000 0.0000
Ag1 0.0000 0.0000 0.5000
# * magnetization: 0.000 μB/atom
# * density: 7.5 g/cm³
# * total energy: -50.61 eV for the cell shown

=====

# 9
# Pr3TmAg4 (PBE-GGA, optimized geometry)
data_Pr3TmAg4
_cell_length_a 3.703
_cell_length_b 3.703
_cell_length_c 15.186
_cell_angle_alpha 90.00
_cell_angle_beta 90.00
_cell_angle_gamma 90.00
_space_group_name_H-M_alt 'P 4/m m m'
_space_group_IT_number 123
_space_group_name_Hall '-P 4 2'
loop_
_atom_site_label
_atom_site_fract_x
_atom_site_fract_y
_atom_site_fract_z
Pr1 0.000 0.000 0.000
Pr2 0.000 0.000 0.257
Tm1 0.000 0.000 0.500
Ag1 0.500 0.500 0.128
Ag2 0.500 0.500 0.391
# * magnetization: 0.000 μB/atom
# * density: 8.2 g/cm³
# * total energy: -32.36 eV for the cell shown

=====

# 10
# Pr3Tm2Ag2 (PBE-GGA, optimized geometry)
data_Pr3Tm2Ag2
_cell_length_a 4.959
_cell_length_b 23.049
_cell_length_c 3.514
_cell_angle_alpha 90.00
_cell_angle_beta 90.00
_cell_angle_gamma 90.00
_space_group_name_H-M_alt 'C m m m'
_space_group_IT_number 65
_space_group_name_Hall '-C 2 2'
loop_
_atom_site_label
_atom_site_fract_x
_atom_site_fract_y
_atom_site_fract_z
Pr1 0.000 0.000 0.000
Pr2 0.000 0.143 0.000
Tm1 0.000 0.291 0.500
Ag1 0.000 0.428 0.500
# * magnetization: 0.000 μB/atom
# * density: 8.1 g/cm³
# * total energy: -57.44 eV for the cell shown

=====

# 11
# Pr3TmAg3 (PBE-GGA, optimized geometry)
data_Pr3TmAg3
_cell_length_a 10.988
_cell_length_b 10.097
_cell_length_c 7.307
_cell_angle_alpha 90.00
_cell_angle_beta 100.00
_cell_angle_gamma 90.00
_space_group_name_H-M_alt 'C 1 2/m 1'
_space_group_IT_number 12
_space_group_name_Hall '-C 2y'
loop_
_atom_site_label
_atom_site_fract_x
_atom_site_fract_y
_atom_site_fract_z
Pr1 0.000 0.184 0.000
Pr2 0.000 0.305 0.500
Pr3 0.174 0.500 0.980
Tm1 0.221 0.000 0.450
Ag1 0.056 0.000 0.698
Ag2 0.249 0.269 0.265
# * magnetization: 0.000 μB/atom
# * density: 7.6 g/cm³
# * total energy: -113.20 eV for the cell shown

=====

# 12
# Pr2TmAg (PBE-GGA, optimized geometry)
data_Pr2TmAg
_cell_length_a 7.783
_cell_length_b 7.783
_cell_length_c 7.783
_cell_angle_alpha 90.00
_cell_angle_beta 90.00
_cell_angle_gamma 90.00
_space_group_name_H-M_alt 'F m -3 m'
_space_group_IT_number 225
_space_group_name_Hall '-F 4 2 3'
loop_
_atom_site_label
_atom_site_fract_x
_atom_site_fract_y
_atom_site_fract_z
Pr1 0.250 0.250 0.250
Tm1 0.000 0.000 0.000
Ag1 0.000 0.000 0.500
# * magnetization: 0.000 μB/atom
# * density: 7.9 g/cm³
# * total energy: -66.76 eV for the cell shown

=====

# 13
# PrTm5Ag4 (PBE-GGA, optimized geometry)
data_PrTm5Ag4
_cell_length_a 3.563
_cell_length_b 3.563
_cell_length_c 19.710
_cell_angle_alpha 90.00
_cell_angle_beta 90.00
_cell_angle_gamma 90.00
_space_group_name_H-M_alt 'P 4/m m m'
_space_group_IT_number 123
_space_group_name_Hall '-P 4 2'
loop_
_atom_site_label
_atom_site_fract_x
_atom_site_fract_y
_atom_site_fract_z
Pr1 0.000 0.000 0.000
Tm1 0.500 0.500 0.131
Tm2 0.500 0.500 0.314
Tm3 0.500 0.500 0.500
Ag1 0.000 0.000 0.222
Ag2 0.000 0.000 0.408
# * magnetization: 0.000 μB/atom
# * density: 9.4 g/cm³
# * total energy: -41.15 eV for the cell shown

=====

# 14
# PrYTmAg (PBE-GGA, optimized geometry)
data_PrYTmAg
_cell_length_a 7.692
_cell_length_b 7.692
_cell_length_c 7.692
_cell_angle_alpha 90.00
_cell_angle_beta 90.00
_cell_angle_gamma 90.00
_space_group_name_H-M_alt 'F -4 3 m'
_space_group_IT_number 216
_space_group_name_Hall 'F -4 2 3'
loop_
_atom_site_label
_atom_site_fract_x
_atom_site_fract_y
_atom_site_fract_z
Pr1 0.000 0.000 0.000
Y1 0.000 0.000 0.500
Tm1 0.250 0.250 0.750
Ag1 0.250 0.250 0.250
# * magnetization: 0.000 μB/atom
# * density: 7.4 g/cm³
# * total energy: -73.43 eV for the cell shown

=====

# 15
# PrYTmAg (PBE-GGA, optimized geometry)
data_PrYTmAg
_cell_length_a 3.619
_cell_length_b 3.619
_cell_length_c 8.800
_cell_angle_alpha 90.00
_cell_angle_beta 90.00
_cell_angle_gamma 90.00
_space_group_name_H-M_alt 'P 4 m m'
_space_group_IT_number 99
_space_group_name_Hall 'P 4 -2'
loop_
_atom_site_label
_atom_site_fract_x
_atom_site_fract_y
_atom_site_fract_z
Pr1 0.000 0.000 0.000
Y1 0.500 0.500 0.701
Tm1 0.500 0.500 0.292
Ag1 0.000 0.000 0.487
# * magnetization: 0.000 μB/atom
# * density: 7.3 g/cm³
# * total energy: -19.13 eV for the cell shown

=====

# 16
# Pr2Y2Ag (PBE-GGA, optimized geometry)
data_Pr2Y2Ag
_cell_length_a 3.650
_cell_length_b 3.650
_cell_length_c 23.081
_cell_angle_alpha 90.00
_cell_angle_beta 90.00
_cell_angle_gamma 90.00
_space_group_name_H-M_alt 'I 4/m m m'
_space_group_IT_number 139
_space_group_name_Hall '-I 4 2'
loop_
_atom_site_label
_atom_site_fract_x
_atom_site_fract_y
_atom_site_fract_z
Pr1 0.000 0.000 0.192
Y1 0.000 0.000 0.421
Ag1 0.000 0.000 0.000
# * magnetization: 0.000 μB/atom
# * density: 6.1 g/cm³
# * total energy: -51.75 eV for the cell shown

=====

# 17
# Pr2YAg (PBE-GGA, optimized geometry)
data_Pr2YAg
_cell_length_a 3.6915
_cell_length_b 3.6915
_cell_length_c 32.1189
_cell_angle_alpha 90.00
_cell_angle_beta 90.00
_cell_angle_gamma 120.00
_space_group_name_H-M_alt 'R 3 m'
_space_group_IT_number 160
_space_group_name_Hall 'R 3 -2"'
loop_
_atom_site_label
_atom_site_fract_x
_atom_site_fract_y
_atom_site_fract_z
Pr1 0.0000 0.0000 0.0000
Pr2 0.0000 0.0000 0.1821
Y1 0.0000 0.0000 0.4240
Ag1 0.0000 0.0000 0.5917
# * magnetization: 0.000 μB/atom
# * density: 6.3 g/cm³
# * total energy: -56.56 eV for the cell shown

=====

# 18
# PrY2Ag (PBE-GGA, optimized geometry)
data_PrY2Ag
_cell_length_a 3.6901
_cell_length_b 3.6901
_cell_length_c 31.1211
_cell_angle_alpha 90.00
_cell_angle_beta 90.00
_cell_angle_gamma 120.00
_space_group_name_H-M_alt 'R 3 m'
_space_group_IT_number 160
_space_group_name_Hall 'R 3 -2"'
loop_
_atom_site_label
_atom_site_fract_x
_atom_site_fract_y
_atom_site_fract_z
Pr1 0.0000 0.0000 0.0000
Y1 0.0000 0.0000 0.5708
Y2 0.0000 0.0000 0.7617
Ag1 0.0000 0.0000 0.1660
# * magnetization: 0.000 μB/atom
# * density: 5.8 g/cm³
# * total energy: -61.75 eV for the cell shown

=====

# 19
# PrYAg4 (PBE-GGA, optimized geometry)
data_PrYAg4
_cell_length_a 10.172
_cell_length_b 3.781
_cell_length_c 7.692
_cell_angle_alpha 90.00
_cell_angle_beta 111.89
_cell_angle_gamma 90.00
_space_group_name_H-M_alt 'C 1 2/m 1'
_space_group_IT_number 12
_space_group_name_Hall '-C 2y'
loop_
_atom_site_label
_atom_site_fract_x
_atom_site_fract_y
_atom_site_fract_z
Pr1 0.000 0.000 0.000
Y1 0.000 0.000 0.500
Ag1 0.170 0.500 0.824
Ag2 0.172 0.500 0.344
# * magnetization: 0.000 μB/atom
# * density: 8.0 g/cm³
# * total energy: -48.53 eV for the cell shown

=====

# 20
# Pr4YAg5 (PBE-GGA, optimized geometry)
data_Pr4YAg5
_cell_length_a 3.718
_cell_length_b 3.718
_cell_length_c 19.167
_cell_angle_alpha 90.00
_cell_angle_beta 90.00
_cell_angle_gamma 90.00
_space_group_name_H-M_alt 'P 4/m m m'
_space_group_IT_number 123
_space_group_name_Hall '-P 4 2'
loop_
_atom_site_label
_atom_site_fract_x
_atom_site_fract_y
_atom_site_fract_z
Pr1 0.000 0.000 0.101
Pr2 0.000 0.000 0.305
Y1 0.000 0.000 0.500
Ag1 0.500 0.500 0.000
Ag2 0.500 0.500 0.203
Ag3 0.500 0.500 0.410
# * magnetization: 0.000 μB/atom
# * density: 7.5 g/cm³
# * total energy: -42.46 eV for the cell shown